[1]
## BaTlCd2 (PBE)

Data for BaTlCd2 after structural relaxation.

Values from the calculation:
Energy of formation   -0.73 eV per formula unit
Raw total energy   -1.7117 eV/atom
Theoretical density   6.95 g cm⁻³
Excess energy over the best structure of this formula in the dataset   0.0599 eV per atom

Cell: 5.3558 4.0793 6.1925 Å, 90.00 90.00 90.00°
Last column: nearest neighbours and their distance in Å.
Sites, in units of the cell vectors:
1 Tl 0.5000 0.2500 0.2500  4 Cd 3.09
2 Ba 0.5000 0.7500 0.7500  8 Cd 3.71, 4 Tl 3.71, 2 Ba 4.08
3 Cd 0.0000 0.2501 0.0005  2 Cd 3.09-3.10, 2 Tl 3.09
4 Cd 0.0000 0.2499 0.4995  2 Cd 3.09-3.10, 2 Tl 3.09



[2]
## Ba2TlCd2 (PBE)

Data for Ba2TlCd2 after structural relaxation.

Values from the calculation:
Energy of formation   -0.74 eV per formula unit
Raw total energy   -1.7558 eV/atom
Theoretical density   5.70 g cm⁻³
Excess energy over the best structure of this formula in the dataset   0.1769 eV per atom

Cell: 6.7495 6.7495 6.5623 Å, 59.05 59.05 90.00°
Last column: nearest neighbours and their distance in Å.
Sites, in units of the cell vectors:
1 Tl 0.0000 0.0000 0.0000  2 Cd 3.13
2 Ba 0.7500 0.2500 0.5000  4 Cd 3.49
3 Ba 0.2500 0.7500 0.5000  4 Cd 3.49
4 Cd 0.3478 0.3478 0.3044  1 Cd 2.74
5 Cd 0.6522 0.6522 0.6956  1 Cd 2.74